# 1
The following is a DFT calculation (PBEsol) of a geometry-optimized KZnAs2 structure.

POSCAR file:
```
KZnAs2
1.0
-2.3118 0.1981 2.8032
-0.5383 -4.0381 -0.1586
5.1498 0.3010 4.2256
As K Zn
2 1 1
Direct
0.0000 0.8987 0.1593
0.0000 0.1013 0.8407
0.5000 0.5000 0.5000
0.5000 0.5000 0.0000
```

The value obtained for the energy of formation from the pure elements is -0.12 eV/atom. The value obtained for the total moment is 0.00 μB/f.u. Its space group is No. 10. The crystal system is monoclinic. The total energy comes out at -3.35 eV/atom.

=====

# 2
The following is a DFT calculation (PBEsol) of a geometry-optimized K4ZnAs2 structure.

POSCAR file:
```
K4ZnAs2
1.0
-5.3196 1.5043 -1.3002
-2.6291 -2.4012 -4.4242
-5.7641 -6.7070 3.4206
K As Zn
4 2 1
Direct
0.3837 0.3837 0.8488
0.2087 0.2087 0.3738
0.7913 0.7913 0.6262
0.6163 0.6163 0.1512
0.0858 0.0858 0.7426
0.9142 0.9142 0.2574
0.0000 0.0000 0.0000
```

The value obtained for the energy of formation from the pure elements is -0.42 eV/atom. The value obtained for the total moment is 0.00 μB/f.u. Its space group is No. 166. The crystal system is trigonal. The total energy comes out at -2.76 eV/atom.